Below is UCuRh after structural relaxation, with properties calculated at the GGA-PBE level.

Lattice parameters (Å, degrees): 5.569 5.569 5.569 146.63 146.63 47.92
Fractional positions:
U (0.000, 0.000, 0.000)
Cu (0.306, 0.306, 0.000)
Rh (0.663, 0.663, 0.000)

Values from the calculation:
ΔE_f = -0.23 eV per formula unit
VASP energy = -23.0 eV per cell
excess energy over the best structure of this formula in the dataset = 0.00 eV/f.u.

***

Below is GdErTe2 after structural relaxation, with properties calculated at the GGA-PBE level.

Lattice parameters (Å, degrees): 7.551 7.551 7.551 33.62 33.62 33.62
Fractional positions:
Gd (0.000, 0.000, 0.000)
Er (0.500, 0.500, 0.500)
Te (0.248, 0.248, 0.248)
Te (0.752, 0.752, 0.752)

Values from the calculation:
raw formation energy = -1.32 eV per atom
VASP energy = -30.2 eV per cell
excess energy over the best structure of this formula in the dataset = 0.00 eV/f.u.